# 1
A plane-wave DFT calculation with GGA-PBE was carried out for an optimized crystal structure of Cu2RuW.

Values from the calculation:
Total energy (eV/atom): -7.246
Space-group type: No. 123
Energy relative to the lowest polymorph listed for this composition (eV/atom): 0.1902
D(E_F) (states/eV/f.u.): 4.59
Mass density (Mg/m³): 12.53
ΔH_f (0 K) (eV/atom): 0.359

The structure in POSCAR format:
```
Cu2RuW
1.0
2.6358 0.0000 0.0000
0.0000 2.6358 0.0000
0.0000 0.0000 7.8592
Cu Ru W
2 1 1
direct
0.0000 0.0000 0.2432
0.0000 0.0000 0.7568
0.5000 0.5000 0.0000
0.5000 0.5000 0.5000
```



# 2
A plane-wave DFT calculation with GGA-PBE was carried out for an optimized crystal structure of Cu2RuW.

Values from the calculation:
Total energy (eV/atom): -7.335
Space-group type: No. 12
Energy relative to the lowest polymorph listed for this composition (eV/atom): 0.1017
D(E_F) (states/eV/f.u.): 3.30
Mass density (Mg/m³): 12.40
ΔH_f (0 K) (eV/atom): 0.271

The structure in POSCAR format:
```
Cu2RuW
1.0
9.0578 0.0000 0.0000
0.0000 2.7157 0.0000
-0.8019 0.0000 4.4842
Cu Ru W
4 2 2
direct
0.2487 0.0000 0.2500
0.2513 0.5000 0.7500
0.7487 0.5000 0.2500
0.7513 0.0000 0.7500
0.0000 0.5000 0.0000
0.5000 0.0000 0.0000
0.0000 0.0000 0.5000
0.5000 0.5000 0.5000
```



# 3
A plane-wave DFT calculation with GGA-PBE was carried out for an optimized crystal structure of CuRu4W.

Values from the calculation:
Total energy (eV/atom): -8.536
Space-group type: No. 216
D(E_F) (states/eV/f.u.): 7.95
Mass density (Mg/m³): 12.03
ΔH_f (0 K) (eV/atom): 0.490

The structure in POSCAR format:
```
CuRu4W
1.0
0.0000 3.5564 3.5564
3.5564 0.0000 3.5564
3.5564 3.5564 0.0000
Cu Ru W
1 4 1
direct
0.0000 0.0000 0.0000
0.3747 0.3747 0.3747
0.3747 0.3747 0.8760
0.3747 0.8760 0.3747
0.8760 0.3747 0.3747
0.7500 0.7500 0.7500
```



# 4
A plane-wave DFT calculation with GGA-PBE was carried out for an optimized crystal structure of Cu2RuW.

Values from the calculation:
Total energy (eV/atom): -7.290
Space-group type: No. 65
Energy relative to the lowest polymorph listed for this composition (eV/atom): 0.1462
D(E_F) (states/eV/f.u.): 2.99
Mass density (Mg/m³): 12.51
ΔH_f (0 K) (eV/atom): 0.315

The structure in POSCAR format:
```
Cu2RuW
1.0
5.0161 0.0000 0.0000
0.0000 8.0958 0.0000
0.0000 0.0000 2.6926
Cu Ru W
4 2 2
direct
0.2500 0.2500 0.0000
0.2500 0.7500 0.0000
0.7500 0.2500 0.0000
0.7500 0.7500 0.0000
0.0000 0.0000 0.5000
0.5000 0.5000 0.5000
0.0000 0.5000 0.5000
0.5000 0.0000 0.5000
```



# 5
A plane-wave DFT calculation with GGA-PBE was carried out for an optimized crystal structure of CuRuW2.

Values from the calculation:
Total energy (eV/atom): -9.577
Space-group type: No. 8
Energy relative to the lowest polymorph listed for this composition (eV/atom): 0.0710
D(E_F) (states/eV/f.u.): 3.84
Mass density (Mg/m³): 14.99
ΔH_f (0 K) (eV/atom): 0.243

The structure in POSCAR format:
```
CuRuW2
1.0
9.0082 0.0000 0.0000
0.0000 2.7732 0.0000
-0.8068 0.0000 4.7222
Cu Ru W
2 2 4
direct
0.0000 0.0000 0.0000
0.5000 0.5000 0.0000
0.2523 0.0000 0.7392
0.7523 0.5000 0.7392
0.0059 0.5000 0.5094
0.2486 0.5000 0.2229
0.5059 0.0000 0.5094
0.7486 0.0000 0.2229
```



# 6
A plane-wave DFT calculation with GGA-PBE was carried out for an optimized crystal structure of CuRuW2.

Values from the calculation:
Total energy (eV/atom): -9.306
Space-group type: No. 225
Energy relative to the lowest polymorph listed for this composition (eV/atom): 0.3419
D(E_F) (states/eV/f.u.): 6.74
Mass density (Mg/m³): 14.91
ΔH_f (0 K) (eV/atom): 0.514

The structure in POSCAR format:
```
CuRuW2
1.0
6.1894 0.0000 0.0000
0.0000 6.1894 0.0000
0.0000 0.0000 6.1894
Cu Ru W
4 4 8
direct
0.0000 0.0000 0.0000
0.0000 0.5000 0.5000
0.5000 0.0000 0.5000
0.5000 0.5000 0.0000
0.0000 0.0000 0.5000
0.0000 0.5000 0.0000
0.5000 0.0000 0.0000
0.5000 0.5000 0.5000
0.2500 0.2500 0.2500
0.2500 0.2500 0.7500
0.2500 0.7500 0.2500
0.2500 0.7500 0.7500
0.7500 0.2500 0.2500
0.7500 0.2500 0.7500
0.7500 0.7500 0.2500
0.7500 0.7500 0.7500
```



# 7
A plane-wave DFT calculation with GGA-PBE was carried out for an optimized crystal structure of CuRuW2.

Values from the calculation:
Total energy (eV/atom): -9.637
Space-group type: No. 25
Energy relative to the lowest polymorph listed for this composition (eV/atom): 0.0104
D(E_F) (states/eV/f.u.): 3.16
Mass density (Mg/m³): 15.12
ΔH_f (0 K) (eV/atom): 0.182

The structure in POSCAR format:
```
CuRuW2
1.0
2.7857 0.0000 0.0000
0.0000 4.4037 0.0000
0.0000 0.0000 4.7639
Cu Ru W
1 1 2
direct
0.0000 0.0000 0.0000
0.0000 0.5000 0.6700
0.5000 0.0000 0.4980
0.5000 0.5000 0.1521
```



# 8
A plane-wave DFT calculation with GGA-PBE was carried out for an optimized crystal structure of CuRuW2.

Values from the calculation:
Total energy (eV/atom): -9.553
Space-group type: No. 160
Energy relative to the lowest polymorph listed for this composition (eV/atom): 0.0947
D(E_F) (states/eV/f.u.): 1.16
Mass density (Mg/m³): 14.74
ΔH_f (0 K) (eV/atom): 0.266

The structure in POSCAR format:
```
CuRuW2
1.0
2.7599 0.0000 0.0000
-1.3799 2.3901 0.0000
0.0000 0.0000 27.2658
Cu Ru W
3 3 6
direct
0.0000 0.0000 0.0000
0.3333 0.6667 0.6667
0.6667 0.3333 0.3333
0.0000 0.0000 0.7480
0.3333 0.6667 0.4147
0.6667 0.3333 0.0814
0.0000 0.0000 0.2516
0.0000 0.0000 0.4938
0.3333 0.6667 0.1605
0.3333 0.6667 0.9183
0.6667 0.3333 0.5849
0.6667 0.3333 0.8271
```



Which value of total energy does entry 2 give?
-7.335 eV/atom